DFT (GGA-PBE) results for crystalline LiAlCr at its relaxed geometry.

Summary:
Energy above the most stable polymorph in this dataset ... 0.1213 eV/atom
Spin magnetization ... 0.0 μB per formula unit
Crystal system ... orthorhombic
Energy relative to the elements ... 284 meV per atom

Cell lengths 4.1938, 4.9260, 5.4568 Å; angles 80.59, 67.40, 64.81 degrees
Last column: nearest neighbours and their distance in Å.
Fractional positions:
Al  0.6610  0.0000  0.6780  4 Cr 2.62, 2 Al 2.76
Li  0.1654  0.6691  0.0000  2 Li 2.58, 4 Cr 2.83
Li  0.8346  0.3309  0.0000  2 Li 2.58, 4 Cr 2.83
Al  0.3390  0.0000  0.3220  4 Cr 2.62, 2 Al 2.76
Cr  0.7500  0.5000  0.5000  2 Cr 2.10
Cr  0.2500  0.5000  0.5000  2 Cr 2.10

=====

DFT (GGA-PBE) results for crystalline AcTbMgAl at its relaxed geometry.

Summary:
Spin magnetization ... 0.0 μB per formula unit
Crystal system ... cubic
Energy relative to the elements ... -173 meV per atom

Cell lengths 5.4677, 5.4677, 5.4677 Å; angles 60.00, 60.00, 60.00 degrees
Last column: nearest neighbours and their distance in Å.
Fractional positions:
Mg  0.0000  0.0000  0.0000  4 Ac 3.35, 4 Tb 3.35
Tb  0.2500  0.2500  0.2500  4 Mg 3.35, 4 Al 3.35
Al  0.5000  0.5000  0.5000  4 Tb 3.35, 4 Ac 3.35
Ac  0.7500  0.7500  0.7500  4 Mg 3.35, 4 Al 3.35

=====

DFT (GGA-PBE) results for crystalline AlIn2Sn2 at its relaxed geometry.

Summary:
Energy above the most stable polymorph in this dataset ... 0.0000 eV/atom
Spin magnetization ... 0.0 μB per formula unit
Crystal system ... tetragonal
Energy relative to the elements ... 161 meV per atom

Cell lengths 7.3500, 7.3500, 5.1231 Å; angles 90.00, 90.00, 90.00 degrees
Last column: nearest neighbours and their distance in Å.
Fractional positions:
In  0.1713  0.6713  0.5000  6 Sn 3.21-3.45, 1 In 3.56
Sn  0.6424  0.1424  0.0000  2 Al 2.83, 1 Sn 2.96
In  0.6713  0.8287  0.5000  6 Sn 3.21-3.45, 1 In 3.56
Sn  0.8576  0.6424  0.0000  2 Al 2.83, 1 Sn 2.96
In  0.8287  0.3287  0.5000  6 Sn 3.21-3.45, 1 In 3.56
Sn  0.1424  0.3576  0.0000  2 Al 2.83, 1 Sn 2.96
Al  0.0000  0.0000  0.0000  4 Sn 2.83
Sn  0.3576  0.8576  0.0000  2 Al 2.83, 1 Sn 2.96
In  0.3287  0.1713  0.5000  6 Sn 3.21-3.45, 1 In 3.56
Al  0.5000  0.5000  0.0000  4 Sn 2.83

=====

DFT (GGA-PBE) results for crystalline Sr2InHgAu6 at its relaxed geometry.

Summary:
Spin magnetization ... 0.0 μB per formula unit
Crystal system ... cubic
Energy relative to the elements ... -171 meV per atom

Cell lengths 7.4440, 7.4440, 7.4440 Å; angles 60.00, 60.00, 90.00 degrees
Last column: nearest neighbours and their distance in Å.
Fractional positions:
Sr  0.7500  0.2500  0.5000  12 Au 3.72
Au  0.7485  0.7485  0.0000  1 In 2.62, 1 Hg 2.65
Au  0.7485  0.2515  0.0000  1 In 2.62, 1 Hg 2.65
Au  0.2515  0.2515  0.0000  1 In 2.62, 1 Hg 2.65
In  0.5000  0.5000  0.0000  6 Au 2.62
Sr  0.2500  0.7500  0.5000  12 Au 3.72
Au  0.2515  0.2515  0.4970  1 In 2.62, 1 Hg 2.65
Au  0.2515  0.7485  0.0000  1 In 2.62, 1 Hg 2.65
Hg  0.0000  0.0000  0.0000  6 Au 2.65
Au  0.7485  0.7485  0.5030  1 In 2.62, 1 Hg 2.65

=====

DFT (GGA-PBE) results for crystalline Dy5MgGa3 at its relaxed geometry.

Summary:
Spin magnetization ... 0.0 μB per formula unit
Crystal system ... hexagonal
Energy relative to the elements ... -426 meV per atom

Cell lengths 6.4445, 8.9091, 8.9089 Å; angles 120.00, 90.00, 90.00 degrees
Last column: nearest neighbours and their distance in Å.
Fractional positions:
Dy  0.7500  0.6907  0.6907  5 Ga 2.98-3.25, 2 Mg 3.19
Dy  0.5000  0.6667  0.3333  8 Dy 3.22-3.48, 6 Ga 3.30
Dy  0.5000  0.3333  0.6667  8 Dy 3.22-3.48, 6 Ga 3.30
Ga  0.7500  0.0000  0.6448  9 Dy 2.98-3.30
Ga  0.2500  0.3552  0.0000  9 Dy 2.98-3.30
Mg  0.0000  0.0000  0.0000  6 Dy 3.19, 2 Mg 3.22, 6 Ga 3.55
Mg  0.5000  0.0000  0.0000  6 Dy 3.19, 2 Mg 3.22, 6 Ga 3.55
Dy  0.2500  0.6907  0.0000  5 Ga 2.98-3.25, 2 Mg 3.19
Dy  0.7500  0.0000  0.3093  5 Ga 2.98-3.25, 2 Mg 3.19
Dy  0.0000  0.3333  0.6667  8 Dy 3.22-3.48, 6 Ga 3.30
Dy  0.2500  0.3093  0.3093  5 Ga 2.98-3.25, 2 Mg 3.19
Dy  0.0000  0.6667  0.3333  8 Dy 3.22-3.48, 6 Ga 3.30
Dy  0.2500  0.0000  0.6907  5 Ga 2.98-3.25, 2 Mg 3.19
Ga  0.2500  0.6448  0.6448  9 Dy 2.98-3.30
Ga  0.2500  0.0000  0.3552  9 Dy 2.98-3.30
Dy  0.7500  0.3093  0.0000  5 Ga 2.98-3.25, 2 Mg 3.19
Ga  0.7500  0.3552  0.3552  9 Dy 2.98-3.30
Ga  0.7500  0.6448  0.0000  9 Dy 2.98-3.30

=====

DFT (GGA-PBE) results for crystalline CaFe2Se at its relaxed geometry.

Summary:
Energy above the most stable polymorph in this dataset ... 0.2776 eV/atom
E_form (uncorrected) ... 0.06 eV/atom
Spin magnetization ... 5.1 μB per formula unit
Crystal system ... monoclinic

Cell lengths 5.0786, 5.0786, 4.7182 Å; angles 75.54, 75.54, 38.93 degrees
Last column: nearest neighbours and their distance in Å.
Fractional positions:
Ca  0.2500  0.2500  0.2500  4 Se 2.90, 6 Fe 3.02-3.18
Fe  0.4755  0.4755  0.5932  2 Fe 2.38
Se  0.7500  0.7500  0.7500  6 Fe 2.69-2.91, 4 Ca 2.90
Fe  0.0245  0.0245  0.9068  2 Fe 2.38

=====

DFT (GGA-PBE) results for crystalline LiIn at its relaxed geometry.

Summary:
Spin magnetization ... 0.0 μB per formula unit
Crystal system ... orthorhombic
Energy relative to the elements ... -231 meV per atom

Cell lengths 5.8504, 5.8504, 4.8088 Å; angles 90.00, 90.00, 149.11 degrees
Last column: nearest neighbours and their distance in Å.
Fractional positions:
Li  0.8359  0.1641  0.7500  7 In 2.88-3.17, 2 Li 3.12
In  0.4195  0.5805  0.2500  7 Li 2.88-3.17, 4 In 3.01-3.12
In  0.5805  0.4195  0.7500  7 Li 2.88-3.17, 4 In 3.01-3.12
Li  0.1641  0.8359  0.2500  7 In 2.88-3.17, 2 Li 3.12

=====

DFT (GGA-PBE) results for crystalline ZnTeSe at its relaxed geometry.

Summary:
Energy above the most stable polymorph in this dataset ... 0.0000 eV/atom
E_form (uncorrected) ... -0.34 eV/atom
Spin magnetization ... 0.0 μB per formula unit
Crystal system ... monoclinic

Cell lengths 7.8345, 4.0515, 12.1532 Å; angles 90.00, 121.45, 90.00 degrees
Last column: nearest neighbours and their distance in Å.
Fractional positions:
Se  0.6383  0.0000  0.9048  3 Zn 2.51-2.52
Te  0.1008  0.0000  0.3499  1 Zn 2.70, 2 Te 2.91
Se  0.3617  0.5000  0.5952  3 Zn 2.51-2.52
Zn  0.5821  0.0000  0.6806  3 Se 2.51-2.52, 1 Te 2.70
Se  0.3617  0.0000  0.0952  3 Zn 2.51-2.52
Zn  0.5821  0.5000  0.1806  3 Se 2.51-2.52, 1 Te 2.70
Zn  0.4179  0.5000  0.8194  3 Se 2.51-2.52, 1 Te 2.70
Zn  0.4179  0.0000  0.3194  3 Se 2.51-2.52, 1 Te 2.70
Te  0.8992  0.0000  0.6501  1 Zn 2.70, 2 Te 2.91
Se  0.6383  0.5000  0.4048  3 Zn 2.51-2.52
Te  0.1008  0.5000  0.8499  1 Zn 2.70, 2 Te 2.91
Te  0.8992  0.5000  0.1501  1 Zn 2.70, 2 Te 2.91